[1]
A relaxed LaFeOs crystal. Source: Alexandria, functional GGA-PBEsol.

Lattice parameters (Å, degrees): 3.0519 3.0519 6.1683 104.32 104.32 90.00
Each line ends with the local moment (μB).
Element x y z (fractional)
Fe 0.0349 0.0349 0.0699  1.80
La 0.3336 0.3336 0.6672  -0.09
Os 0.6314 0.6314 0.2629  0.13

Computed properties:
- Magnetization: 1.8 μB per formula unit
- Formation energy: 335 meV per atom
- DOS at the Fermi energy: 4.1 states/eV/f.u.
- Density: 11.88 Mg/m³
- Offset from the most stable computed form: 0 kJ/mol of formula units


[2]
A relaxed LaFeOs crystal. Source: Alexandria, functional GGA-PBEsol.

Lattice parameters (Å, degrees): 2.8608 2.8608 7.2669 90.00 90.00 120.00
Each line ends with the local moment (μB).
Element x y z (fractional)
Fe 0.0000 0.0000 0.0367  2.04
La 0.3333 0.6667 0.6724  -0.09
Os 0.6667 0.3333 0.2910  -0.12

Computed properties:
- Magnetization: 1.8 μB per formula unit
- Formation energy: 733 meV per atom
- DOS at the Fermi energy: 3.5 states/eV/f.u.
- Density: 12.41 Mg/m³
- Offset from the most stable computed form: 115 kJ/mol of formula units


[3]
A relaxed LaFeP crystal. Source: Alexandria, functional GGA-PBEsol.

Lattice parameters (Å, degrees): 3.7887 3.7887 8.1454 90.00 90.00 90.00
Element x y z (fractional)
P 0.5000 0.0000 0.1391
P 0.0000 0.5000 0.8609
Fe 0.0000 0.0000 0.0000
Fe 0.5000 0.5000 0.0000
La 0.5000 0.0000 0.7041
La 0.0000 0.5000 0.2959

Computed properties:
- Magnetization: 0.0 μB per formula unit
- Formation energy: -1038 meV per atom
- DOS at the Fermi energy: 1.1 states/eV/f.u.
- Density: 6.41 Mg/m³


[4]
A relaxed LaFe4P crystal. Source: Alexandria, functional GGA-PBEsol.

Lattice parameters (Å, degrees): 4.9712 4.9712 4.9712 60.00 60.00 60.00
Each line ends with the local moment (μB).
Element x y z (fractional)
Fe 0.3748 0.3748 0.3748  2.37
Fe 0.3748 0.3748 0.8755  2.37
Fe 0.8755 0.3748 0.3748  2.37
Fe 0.3748 0.8755 0.3748  2.37
La 0.7500 0.7500 0.7500  -0.17
P 0.0000 0.0000 0.0000  0.09

Computed properties:
- Magnetization: 9.4 μB per formula unit
- Formation energy: 192 meV per atom
- DOS at the Fermi energy: 7.8 states/eV/f.u.
- Density: 7.52 Mg/m³


[5]
A relaxed La2FeP crystal. Source: Alexandria, functional GGA-PBEsol.

Lattice parameters (Å, degrees): 4.0364 4.0364 7.6110 74.62 74.62 60.00
Each line ends with the local moment (μB).
Element x y z (fractional)
Fe 0.0000 0.0000 0.0000  2.05
La 0.2479 0.2479 0.2562  -0.15
La 0.7521 0.7521 0.7438  -0.15
P 0.5000 0.5000 0.5000  0.03

Computed properties:
- Magnetization: 1.4 μB per formula unit
- Formation energy: -314 meV per atom
- DOS at the Fermi energy: 6.3 states/eV/f.u.
- Density: 5.92 Mg/m³


[6]
A relaxed La2FeP crystal. Source: Alexandria, functional GGA-PBEsol.

Lattice parameters (Å, degrees): 4.1627 4.1627 5.7201 111.34 111.34 90.00
Each line ends with the local moment (μB).
Element x y z (fractional)
Fe 0.2500 0.7500 0.5000  2.14
La 0.0000 0.0000 0.0000  -0.17
La 0.7500 0.2500 0.5000  -0.21
P 0.5000 0.5000 0.0000  0.04

Computed properties:
- Magnetization: 1.6 μB per formula unit
- Formation energy: -291 meV per atom
- DOS at the Fermi energy: 5.3 states/eV/f.u.
- Density: 7.12 Mg/m³


[7]
A relaxed La3FePb crystal. Source: Alexandria, functional GGA-PBEsol.

Lattice parameters (Å, degrees): 5.1613 5.1906 5.1906 90.00 90.00 90.00
Element x y z (fractional)
Pb 0.0975 0.5000 0.5000
Fe 0.5689 0.0000 0.0000
La 0.6001 0.5000 0.0000
La 0.1075 0.0000 0.0000
La 0.6001 0.0000 0.5000

Computed properties:
- Magnetization: 0.0 μB per formula unit
- Formation energy: -345 meV per atom
- DOS at the Fermi energy: 2.4 states/eV/f.u.
- Density: 8.12 Mg/m³


[8]
A relaxed La2FePb crystal. Source: Alexandria, functional GGA-PBEsol.

Lattice parameters (Å, degrees): 5.3506 5.3506 5.3506 90.22 119.87 119.87
Each line ends with the local moment (μB).
Element x y z (fractional)
Fe 0.0000 0.5000 0.5000  -2.52
La 0.5000 0.2500 0.7500  0.21
La 0.5000 0.7500 0.2500  0.21
Pb 0.0000 0.0000 0.0000  -0.07

Computed properties:
- Magnetization: 1.8 μB per formula unit
- Formation energy: 9 meV per atom
- DOS at the Fermi energy: 5.6 states/eV/f.u.
- Density: 8.28 Mg/m³
- Offset from the most stable computed form: 56 kJ/mol of formula units